Crystalline AgSn2Au2 at its relaxed geometry, computed with PBE. Values from VASP.

```
&SYSTEM
  ibrav = 0, nat = 10, ntyp = 3
/
ATOMIC_SPECIES
Au 196.97 Au.upf
Sn 118.71 Sn.upf
Ag 107.87 Ag.upf
CELL_PARAMETERS angstrom
-0.185 -0.889 -7.471
-6.691 -3.398 0.570
-1.795 3.473 -0.369
ATOMIC_POSITIONS crystal
Au 0.361 0.861 0.000
Au 0.861 0.639 0.000
Au 0.639 0.139 0.000
Au 0.139 0.361 0.000
Sn 0.167 0.667 0.500
Sn 0.667 0.833 0.500
Sn 0.833 0.333 0.500
Sn 0.333 0.167 0.500
Ag 0.000 0.000 0.000
Ag 0.500 0.500 0.000
```

Values from the calculation:
- space group = P4/mbm
- crystal system = tetragonal
- polymorph energy (0 for the lowest one) (meV/atom) = 13
- energy of formation from the pure elements (kJ/mol of atoms) = -5.2
- DOS at the Fermi energy (states/eV/atom) = 0.301
- raw total energy (eV per atom) = -3.54

Crystalline Re2NiOs at its relaxed geometry, computed with PBE. Values from VASP.

```
&SYSTEM
  ibrav = 0, nat = 4, ntyp = 3
/
ATOMIC_SPECIES
Ni 58.69 Ni.upf
Os 190.23 Os.upf
Re 186.21 Re.upf
CELL_PARAMETERS angstrom
-6.409 4.163 -4.516
-5.980 2.083 -6.221
-7.667 1.781 -4.104
ATOMIC_POSITIONS crystal
Ni 0.250 0.250 0.250
Os 0.750 0.750 0.750
Re 0.997 0.997 0.997
Re 0.503 0.503 0.503
```

Values from the calculation:
- space group = R-3m
- crystal system = trigonal
- polymorph energy (0 for the lowest one) (meV/atom) = 184
- energy of formation from the pure elements (kJ/mol of atoms) = 12.2
- DOS at the Fermi energy (states/eV/atom) = 1.190
- raw total energy (eV per atom) = -10.35